1.
Crystalline Ir2OsCl at its relaxed geometry, computed with PBE-GGA.

a = 2.738 Å, b = 4.709 Å, c = 4.712 Å
α = 90.00°, β = 90.00°, γ = 90.00°
Sites, in units of the cell vectors:
Ir 0.000 0.000 0.000
Ir 0.500 0.500 0.000
Os 0.000 0.500 0.500
Cl 0.500 0.000 0.500

=====

2.
Crystalline Ir2OsCl at its relaxed geometry, computed with PBE-GGA.

a = 5.059 Å, b = 5.059 Å, c = 4.451 Å
α = 91.65°, β = 91.65°, γ = 32.12°
Sites, in units of the cell vectors:
Ir 0.221 0.221 0.240
Ir 0.779 0.779 0.760
Os 0.500 0.500 0.000
Cl 0.000 0.000 0.500

=====

3.
Crystalline Ir2OsCl at its relaxed geometry, computed with PBE-GGA.

a = 2.807 Å, b = 2.807 Å, c = 9.376 Å
α = 90.00°, β = 90.00°, γ = 122.12°
Sites, in units of the cell vectors:
Ir 0.000 0.000 0.000
Ir 0.500 0.500 0.244
Os 0.500 0.500 0.753
Cl 0.000 0.000 0.534

=====

4.
Crystalline IrOs2Cl at its relaxed geometry, computed with PBE-GGA.

a = 2.817 Å, b = 2.817 Å, c = 9.179 Å
α = 90.00°, β = 90.00°, γ = 121.83°
Sites, in units of the cell vectors:
Ir 0.000 0.000 0.000
Os 0.000 0.000 0.509
Os 0.500 0.500 0.756
Cl 0.500 0.500 0.275

=====

5.
Crystalline IrOs2Cl at its relaxed geometry, computed with PBE-GGA.

a = 5.272 Å, b = 5.272 Å, c = 5.272 Å
α = 149.37°, β = 126.72°, γ = 62.72°
Sites, in units of the cell vectors:
Ir 0.000 0.000 0.000
Os 0.262 0.762 0.500
Os 0.738 0.238 0.500
Cl 0.500 0.500 0.000

=====

6.
Crystalline Ir2OsCl at its relaxed geometry, computed with PBE-GGA.

a = 4.410 Å, b = 4.410 Å, c = 4.410 Å
α = 60.00°, β = 60.00°, γ = 60.00°
Sites, in units of the cell vectors:
Ir 0.000 0.000 0.000
Ir 0.250 0.250 0.250
Os 0.750 0.750 0.750
Cl 0.500 0.500 0.500

=====

7.
Crystalline IrOs2Cl at its relaxed geometry, computed with PBE-GGA.

a = 2.782 Å, b = 2.782 Å, c = 7.774 Å
α = 90.00°, β = 90.00°, γ = 90.00°
Sites, in units of the cell vectors:
Ir 0.000 0.000 0.000
Os 0.500 0.500 0.239
Os 0.500 0.500 0.761
Cl 0.000 0.000 0.500

=====

8.
Crystalline Ir2OsCl at its relaxed geometry, computed with PBE-GGA.

a = 4.425 Å, b = 4.425 Å, c = 4.425 Å
α = 60.00°, β = 60.00°, γ = 60.00°
Sites, in units of the cell vectors:
Ir 0.250 0.250 0.250
Ir 0.750 0.750 0.750
Os 0.000 0.000 0.000
Cl 0.500 0.500 0.500

=====

9.
Crystalline IrOs2Cl at its relaxed geometry, computed with PBE-GGA.

a = 8.820 Å, b = 8.820 Å, c = 8.820 Å
α = 18.30°, β = 18.30°, γ = 18.30°
Sites, in units of the cell vectors:
Ir 0.000 0.000 0.000
Os 0.251 0.251 0.251
Os 0.749 0.749 0.749
Cl 0.500 0.500 0.500

=====

10.
Crystalline Ir2OsCl at its relaxed geometry, computed with PBE-GGA.

a = 6.025 Å, b = 6.025 Å, c = 6.025 Å
α = 153.83°, β = 138.10°, γ = 50.08°
Sites, in units of the cell vectors:
Ir 0.213 0.213 0.000
Ir 0.787 0.787 0.000
Os 0.000 0.500 0.500
Cl 0.500 0.000 0.500

=====

11.
Crystalline IrOs2Cl at its relaxed geometry, computed with PBE-GGA.

a = 4.608 Å, b = 4.608 Å, c = 7.715 Å
α = 121.93°, β = 121.93°, γ = 35.25°
Sites, in units of the cell vectors:
Ir 0.000 0.000 0.000
Os 0.202 0.202 0.839
Os 0.798 0.798 0.161
Cl 0.500 0.500 0.500

=====

12.
Crystalline Ir2OsCl at its relaxed geometry, computed with PBE-GGA.

a = 2.799 Å, b = 2.799 Å, c = 8.297 Å
α = 90.00°, β = 90.00°, γ = 90.00°
Sites, in units of the cell vectors:
Ir 0.000 0.000 0.000
Ir 0.500 0.500 0.226
Os 0.000 0.000 0.440
Cl 0.500 0.500 0.655

=====

| no. | E (eV/atom) | energy relative to the lowest polymorph listed for this composition (meV/atom) |
| --- | --- | --- |
| 1 | -6.59 | 639 |
| 2 | -6.86 | 376 |
| 3 | -6.95 | 281 |
| 4 | -7.47 | 290 |
| 5 | -7.17 | 593 |
| 6 | -6.55 | 679 |
| 7 | -7.39 | 370 |
| 8 | -6.51 | 728 |
| 9 | -7.63 | 125 |
| 10 | -6.87 | 359 |
| 11 | -7.54 | 219 |
| 12 | -7.02 | 217 |